# Tb3Al3Ag | Alexandria via LeMat-Bulk | GGA-PBE | relaxed
# M_tot in μB per cell: 0.43
data_Tb3Al3Ag
_chemical_formula_sum 'Tb6 Al6 Ag2'
_cell_length_a 3.632
_cell_length_b 4.570
_cell_length_c 19.805
_cell_angle_alpha 90.00
_cell_angle_beta 90.00
_cell_angle_gamma 90.00
_space_group_name_H-M_alt 'I m m 2'
_space_group_IT_number 44
loop_
_space_group_symop_operation_xyz
'x,y,z'
'-x,-y,z'
'-x,y,z'
'x,-y,z'
'x+1/2,y+1/2,z+1/2'
'-x+1/2,-y+1/2,z+1/2'
'-x+1/2,y+1/2,z+1/2'
'x+1/2,-y+1/2,z+1/2'
loop_
_atom_site_label
_atom_site_type_symbol
_atom_site_fract_x
_atom_site_fract_y
_atom_site_fract_z
Tb1 Tb 0.000 0.000 0.000
Tb2 Tb 0.000 0.000 0.391
Tb3 Tb 0.000 0.500 0.195
Al1 Al 0.000 0.000 0.558
Al2 Al 0.000 0.000 0.837
Al3 Al 0.000 0.500 0.630
Ag1 Ag 0.000 0.500 0.763

***

# TbAl2Ag | Alexandria via LeMat-Bulk | GGA-PBE | relaxed
# M_tot in μB per cell: 0.00
data_TbAl2Ag
_chemical_formula_sum 'Tb3 Al6 Ag3'
_cell_length_a 4.3810
_cell_length_b 4.3810
_cell_length_c 15.3981
_cell_angle_alpha 90.00
_cell_angle_beta 90.00
_cell_angle_gamma 120.00
_space_group_name_H-M_alt 'R -3 m'
_space_group_IT_number 166
_space_group_name_Hall '-R 3 2"'
loop_
_atom_site_label
_atom_site_type_symbol
_atom_site_fract_x
_atom_site_fract_y
_atom_site_fract_z
Tb1 Tb 0.0000 0.0000 0.0000
Al1 Al 0.0000 0.0000 0.2138
Ag1 Ag 0.0000 0.0000 0.5000

***

# Tb8AlAg2 | Alexandria via LeMat-Bulk | GGA-PBE | relaxed
# M_tot in μB per cell: 0.00
# Excess energy over the best structure of this formula in the dataset in meV/atom: 0
data_Tb8AlAg2
_chemical_formula_sum 'Tb16 Al2 Ag4'
_cell_length_a 16.034
_cell_length_b 5.272
_cell_length_c 8.370
_cell_angle_alpha 90.00
_cell_angle_beta 120.38
_cell_angle_gamma 90.00
_space_group_name_H-M_alt 'C 1 2/m 1'
_space_group_IT_number 12
loop_
_space_group_symop_operation_xyz
'x,y,z'
'-x,-y,-z'
'-x,y,-z'
'x,-y,z'
'x+1/2,y+1/2,z'
'-x+1/2,-y+1/2,-z'
'-x+1/2,y+1/2,-z'
'x+1/2,-y+1/2,z'
loop_
_atom_site_label
_atom_site_type_symbol
_atom_site_fract_x
_atom_site_fract_y
_atom_site_fract_z
Tb1 Tb 0.068 0.000 0.222
Tb2 Tb 0.097 0.500 0.950
Tb3 Tb 0.136 0.000 0.689
Tb4 Tb 0.181 0.500 0.459
Al1 Al 0.000 0.500 0.500
Ag1 Ag 0.224 0.000 0.116

***

# Tb6AlAg2 | Alexandria via LeMat-Bulk | GGA-PBE | relaxed
# M_tot in μB per cell: 0.00
data_Tb6AlAg2
_chemical_formula_sum 'Tb24 Al4 Ag8'
_cell_length_a 9.825
_cell_length_b 10.040
_cell_length_c 10.052
_cell_angle_alpha 90.00
_cell_angle_beta 90.00
_cell_angle_gamma 90.00
_space_group_name_H-M_alt 'I m m m'
_space_group_IT_number 71
_space_group_name_Hall '-I 2 2'
loop_
_atom_site_label
_atom_site_type_symbol
_atom_site_fract_x
_atom_site_fract_y
_atom_site_fract_z
Tb1 Tb 0.000 0.174 0.227
Tb2 Tb 0.178 0.500 0.234
Tb3 Tb 0.199 0.253 0.500
Al1 Al 0.000 0.000 0.500
Al2 Al 0.000 0.500 0.500
Ag1 Ag 0.000 0.365 0.000
Ag2 Ag 0.145 0.000 0.000

***

# Tb4AlAg | Alexandria via LeMat-Bulk | GGA-PBE | relaxed
# M_tot in μB per cell: 0.00
# Excess energy over the best structure of this formula in the dataset in meV/atom: 0
data_Tb4AlAg
_chemical_formula_sum 'Tb8 Al2 Ag2'
_cell_length_a 12.061
_cell_length_b 3.588
_cell_length_c 8.681
_cell_angle_alpha 90.00
_cell_angle_beta 118.55
_cell_angle_gamma 90.00
_space_group_name_H-M_alt 'C 1 m 1'
_space_group_IT_number 8
loop_
_space_group_symop_operation_xyz
'x,y,z'
'x,-y,z'
'x+1/2,y+1/2,z'
'x+1/2,-y+1/2,z'
loop_
_atom_site_label
_atom_site_type_symbol
_atom_site_fract_x
_atom_site_fract_y
_atom_site_fract_z
Tb1 Tb 0.000 0.000 0.000
Tb2 Tb 0.030 0.500 0.365
Tb3 Tb 0.265 0.500 0.259
Tb4 Tb 0.310 0.000 0.624
Al1 Al 0.268 0.000 0.960
Ag1 Ag 0.041 0.000 0.664

***

# Tb2Al3Ag5 | Alexandria via LeMat-Bulk | GGA-PBE | relaxed
# M_tot in μB per cell: 0.00
# Excess energy over the best structure of this formula in the dataset in meV/atom: 0
data_Tb2Al3Ag5
_chemical_formula_sum 'Tb8 Al12 Ag20'
_cell_length_a 4.571
_cell_length_b 25.177
_cell_length_c 6.992
_cell_angle_alpha 90.00
_cell_angle_beta 90.00
_cell_angle_gamma 90.00
_space_group_name_H-M_alt 'C m c 21'
_space_group_IT_number 36
loop_
_space_group_symop_operation_xyz
'x,y,z'
'-x,-y,z+1/2'
'-x,y,z'
'x,-y,z+1/2'
'x+1/2,y+1/2,z'
'-x+1/2,-y+1/2,z+1/2'
'-x+1/2,y+1/2,z'
'x+1/2,-y+1/2,z+1/2'
loop_
_atom_site_label
_atom_site_type_symbol
_atom_site_fract_x
_atom_site_fract_y
_atom_site_fract_z
Tb1 Tb 0.000 0.014 0.000
Tb2 Tb 0.000 0.325 0.983
Al1 Al 0.000 0.104 0.306
Al2 Al 0.000 0.271 0.451
Al3 Al 0.000 0.446 0.200
Ag1 Ag 0.000 0.106 0.700
Ag2 Ag 0.000 0.201 0.159
Ag3 Ag 0.000 0.216 0.759
Ag4 Ag 0.000 0.375 0.497
Ag5 Ag 0.000 0.450 0.803

***

# Tb4AlAg2 | Alexandria via LeMat-Bulk | GGA-PBE | relaxed
# M_tot in μB per cell: 0.00
# Excess energy over the best structure of this formula in the dataset in meV/atom: 100
data_Tb4AlAg2
_chemical_formula_sum 'Tb12 Al3 Ag6'
_cell_length_a 5.0460
_cell_length_b 5.0460
_cell_length_c 26.7018
_cell_angle_alpha 90.00
_cell_angle_beta 90.00
_cell_angle_gamma 120.00
_space_group_name_H-M_alt 'R -3 m'
_space_group_IT_number 166
_space_group_name_Hall '-R 3 2"'
loop_
_atom_site_label
_atom_site_type_symbol
_atom_site_fract_x
_atom_site_fract_y
_atom_site_fract_z
Tb1 Tb 0.0000 0.0000 0.1253
Tb2 Tb 0.0000 0.0000 0.2905
Al1 Al 0.0000 0.0000 0.5000
Ag1 Ag 0.0000 0.0000 0.4030

***

# TbAl2Ag2 | Alexandria via LeMat-Bulk | GGA-PBE | relaxed
# M_tot in μB per cell: 0.00
# Excess energy over the best structure of this formula in the dataset in meV/atom: 13
data_TbAl2Ag2
_chemical_formula_sum 'Tb2 Al4 Ag4'
_cell_length_a 4.334
_cell_length_b 4.334
_cell_length_c 10.826
_cell_angle_alpha 90.00
_cell_angle_beta 90.00
_cell_angle_gamma 90.00
_space_group_name_H-M_alt 'I 4/m m m'
_space_group_IT_number 139
_space_group_name_Hall '-I 4 2'
loop_
_atom_site_label
_atom_site_type_symbol
_atom_site_fract_x
_atom_site_fract_y
_atom_site_fract_z
Tb1 Tb 0.000 0.000 0.000
Al1 Al 0.000 0.000 0.384
Ag1 Ag 0.000 0.500 0.250

***

# TbAlAg3 | Alexandria via LeMat-Bulk | GGA-PBE | relaxed
# M_tot in μB per cell: 0.00
# Excess energy over the best structure of this formula in the dataset in meV/atom: 0
data_TbAlAg3
_chemical_formula_sum 'Tb2 Al2 Ag6'
_cell_length_a 6.369
_cell_length_b 4.580
_cell_length_c 7.217
_cell_angle_alpha 90.00
_cell_angle_beta 106.78
_cell_angle_gamma 90.00
_space_group_name_H-M_alt 'P 1 21/m 1'
_space_group_IT_number 11
loop_
_space_group_symop_operation_xyz
'x,y,z'
'-x,-y,-z'
'-x,y+1/2,-z'
'x,-y+1/2,z'
loop_
_atom_site_label
_atom_site_type_symbol
_atom_site_fract_x
_atom_site_fract_y
_atom_site_fract_z
Tb1 Tb 0.187 0.250 0.200
Al1 Al 0.200 0.750 0.563
Ag1 Ag 0.131 0.250 0.757
Ag2 Ag 0.356 0.750 0.959
Ag3 Ag 0.497 0.250 0.624

***

# Tb6AlAg5 | Alexandria via LeMat-Bulk | GGA-PBE | relaxed
# M_tot in μB per cell: 0.00
data_Tb6AlAg5
_chemical_formula_sum 'Tb12 Al2 Ag10'
_cell_length_a 5.151
_cell_length_b 15.463
_cell_length_c 7.340
_cell_angle_alpha 90.00
_cell_angle_beta 90.00
_cell_angle_gamma 90.00
_space_group_name_H-M_alt 'C m m m'
_space_group_IT_number 65
_space_group_name_Hall '-C 2 2'
loop_
_atom_site_label
_atom_site_type_symbol
_atom_site_fract_x
_atom_site_fract_y
_atom_site_fract_z
Tb1 Tb 0.000 0.000 0.248
Tb2 Tb 0.000 0.333 0.251
Al1 Al 0.000 0.500 0.500
Ag1 Ag 0.000 0.160 0.500
Ag2 Ag 0.000 0.168 0.000
Ag3 Ag 0.000 0.500 0.000

***

# Tb5AlAg2 | Alexandria via LeMat-Bulk | GGA-PBE | relaxed
# M_tot in μB per cell: 0.00
data_Tb5AlAg2
_chemical_formula_sum 'Tb20 Al4 Ag8'
_cell_length_a 7.982
_cell_length_b 7.982
_cell_length_c 13.456
_cell_angle_alpha 90.00
_cell_angle_beta 90.00
_cell_angle_gamma 90.00
_space_group_name_H-M_alt 'I 4/m c m'
_space_group_IT_number 140
_space_group_name_Hall '-I 4 2c'
loop_
_atom_site_label
_atom_site_type_symbol
_atom_site_fract_x
_atom_site_fract_y
_atom_site_fract_z
Tb1 Tb 0.000 0.000 0.000
Tb2 Tb 0.158 0.342 0.152
Al1 Al 0.000 0.000 0.250
Ag1 Ag 0.132 0.368 0.500

***

# TbAl4Ag | Alexandria via LeMat-Bulk | GGA-PBE | relaxed
# M_tot in μB per cell: 0.00
# Excess energy over the best structure of this formula in the dataset in meV/atom: 0
data_TbAl4Ag
_chemical_formula_sum 'Tb4 Al16 Ag4'
_cell_length_a 10.282
_cell_length_b 6.946
_cell_length_c 7.107
_cell_angle_alpha 90.00
_cell_angle_beta 111.51
_cell_angle_gamma 90.00
_space_group_name_H-M_alt 'C 1 2/m 1'
_space_group_IT_number 12
loop_
_space_group_symop_operation_xyz
'x,y,z'
'-x,-y,-z'
'-x,y,-z'
'x,-y,z'
'x+1/2,y+1/2,z'
'-x+1/2,-y+1/2,-z'
'-x+1/2,y+1/2,-z'
'x+1/2,-y+1/2,z'
loop_
_atom_site_label
_atom_site_type_symbol
_atom_site_fract_x
_atom_site_fract_y
_atom_site_fract_z
Tb1 Tb 0.157 0.000 0.274
Al1 Al 0.000 0.286 0.500
Al2 Al 0.114 0.306 0.940
Al3 Al 0.156 0.000 0.750
Ag1 Ag 0.113 0.500 0.300

***

# Tb4Al2Ag | Alexandria via LeMat-Bulk | GGA-PBE | relaxed
# M_tot in μB per cell: 0.00
data_Tb4Al2Ag
_chemical_formula_sum 'Tb12 Al6 Ag3'
_cell_length_a 5.1349
_cell_length_b 5.1349
_cell_length_c 24.7919
_cell_angle_alpha 90.00
_cell_angle_beta 90.00
_cell_angle_gamma 120.00
_space_group_name_H-M_alt 'R -3 m'
_space_group_IT_number 166
_space_group_name_Hall '-R 3 2"'
loop_
_atom_site_label
_atom_site_type_symbol
_atom_site_fract_x
_atom_site_fract_y
_atom_site_fract_z
Tb1 Tb 0.0000 0.0000 0.1200
Tb2 Tb 0.0000 0.0000 0.3716
Al1 Al 0.0000 0.0000 0.2487
Ag1 Ag 0.0000 0.0000 0.5000

***

# Tb5AlAg4 | Alexandria via LeMat-Bulk | GGA-PBE | relaxed
# M_tot in μB per cell: 0.00
data_Tb5AlAg4
_chemical_formula_sum 'Tb5 Al1 Ag4'
_cell_length_a 3.622
_cell_length_b 3.622
_cell_length_c 18.462
_cell_angle_alpha 90.00
_cell_angle_beta 90.00
_cell_angle_gamma 90.00
_space_group_name_H-M_alt 'P 4/m m m'
_space_group_IT_number 123
_space_group_name_Hall '-P 4 2'
loop_
_atom_site_label
_atom_site_type_symbol
_atom_site_fract_x
_atom_site_fract_y
_atom_site_fract_z
Tb1 Tb 0.000 0.000 0.000
Tb2 Tb 0.000 0.000 0.201
Tb3 Tb 0.000 0.000 0.401
Al1 Al 0.500 0.500 0.500
Ag1 Ag 0.500 0.500 0.100
Ag2 Ag 0.500 0.500 0.303

***

# Tb2Al2Ag3 | Alexandria via LeMat-Bulk | GGA-PBE | relaxed
# M_tot in μB per cell: 0.00
# Excess energy over the best structure of this formula in the dataset in meV/atom: 0
data_Tb2Al2Ag3
_chemical_formula_sum 'Tb8 Al8 Ag12'
_cell_length_a 4.272
_cell_length_b 19.578
_cell_length_c 7.269
_cell_angle_alpha 90.00
_cell_angle_beta 90.00
_cell_angle_gamma 90.00
_space_group_name_H-M_alt 'C m c m'
_space_group_IT_number 63
_space_group_name_Hall '-C 2c 2'
loop_
_atom_site_label
_atom_site_type_symbol
_atom_site_fract_x
_atom_site_fract_y
_atom_site_fract_z
Tb1 Tb 0.000 0.058 0.250
Tb2 Tb 0.000 0.153 0.750
Al1 Al 0.000 0.307 0.557
Ag1 Ag 0.000 0.226 0.250
Ag2 Ag 0.000 0.435 0.058

***

# Tb4Al3Ag | Alexandria via LeMat-Bulk | GGA-PBE | relaxed
# M_tot in μB per cell: 0.00
# Excess energy over the best structure of this formula in the dataset in meV/atom: 31
data_Tb4Al3Ag
_chemical_formula_sum 'Tb4 Al3 Ag1'
_cell_length_a 3.673
_cell_length_b 4.584
_cell_length_c 11.731
_cell_angle_alpha 90.00
_cell_angle_beta 90.00
_cell_angle_gamma 90.00
_space_group_name_H-M_alt 'P m m 2'
_space_group_IT_number 25
loop_
_space_group_symop_operation_xyz
'x,y,z'
'-x,-y,z'
'-x,y,z'
'x,-y,z'
loop_
_atom_site_label
_atom_site_type_symbol
_atom_site_fract_x
_atom_site_fract_y
_atom_site_fract_z
Tb1 Tb 0.000 0.000 0.000
Tb2 Tb 0.000 0.500 0.305
Tb3 Tb 0.500 0.000 0.498
Tb4 Tb 0.500 0.500 0.810
Al1 Al 0.000 0.000 0.720
Al2 Al 0.000 0.500 0.586
Al3 Al 0.500 0.500 0.083
Ag1 Ag 0.500 0.000 0.222

***

# TbAlAg | Alexandria via LeMat-Bulk | GGA-PBE | relaxed
# M_tot in μB per cell: 0.00
data_TbAlAg
_chemical_formula_sum 'Tb4 Al4 Ag4'
_cell_length_a 6.645
_cell_length_b 6.645
_cell_length_c 6.645
_cell_angle_alpha 90.00
_cell_angle_beta 90.00
_cell_angle_gamma 90.00
_space_group_name_H-M_alt 'F -4 3 m'
_space_group_IT_number 216
_space_group_name_Hall 'F -4 2 3'
loop_
_atom_site_label
_atom_site_type_symbol
_atom_site_fract_x
_atom_site_fract_y
_atom_site_fract_z
Tb1 Tb 0.000 0.000 0.000
Al1 Al 0.000 0.000 0.500
Ag1 Ag 0.250 0.250 0.750

***

# TbAlAg4 | Alexandria via LeMat-Bulk | GGA-PBE | relaxed
# M_tot in μB per cell: 0.00
# Excess energy over the best structure of this formula in the dataset in meV/atom: 80
data_TbAlAg4
_chemical_formula_sum 'Tb4 Al4 Ag16'
_cell_length_a 4.934
_cell_length_b 13.781
_cell_length_c 7.331
_cell_angle_alpha 90.00
_cell_angle_beta 90.00
_cell_angle_gamma 90.00
_space_group_name_H-M_alt 'C m c m'
_space_group_IT_number 63
_space_group_name_Hall '-C 2c 2'
loop_
_atom_site_label
_atom_site_type_symbol
_atom_site_fract_x
_atom_site_fract_y
_atom_site_fract_z
Tb1 Tb 0.000 0.119 0.250
Al1 Al 0.000 0.355 0.250
Ag1 Ag 0.000 0.091 0.750
Ag2 Ag 0.000 0.283 0.567
Ag3 Ag 0.000 0.500 0.000

***

# Tb4AlTlAg2 | Alexandria via LeMat-Bulk | GGA-PBE | relaxed
# M_tot in μB per cell: 0.00
data_Tb4AlTlAg2
_chemical_formula_sum 'Tb12 Al3 Tl3 Ag6'
_cell_length_a 5.2228
_cell_length_b 5.2228
_cell_length_c 25.7305
_cell_angle_alpha 90.00
_cell_angle_beta 90.00
_cell_angle_gamma 120.00
_space_group_name_H-M_alt 'R -3 m'
_space_group_IT_number 166
_space_group_name_Hall '-R 3 2"'
loop_
_atom_site_label
_atom_site_type_symbol
_atom_site_fract_x
_atom_site_fract_y
_atom_site_fract_z
Tb1 Tb 0.0000 0.0000 0.1223
Tb2 Tb 0.0000 0.0000 0.3727
Al1 Al 0.0000 0.0000 0.0000
Tl1 Tl 0.0000 0.0000 0.5000
Ag1 Ag 0.0000 0.0000 0.2529

***

# TbAlTlAg | Alexandria via LeMat-Bulk | GGA-PBE | relaxed
# M_tot in μB per cell: 0.00
data_TbAlTlAg
_chemical_formula_sum 'Tb4 Al4 Tl4 Ag4'
_cell_length_a 7.113
_cell_length_b 7.113
_cell_length_c 7.113
_cell_angle_alpha 90.00
_cell_angle_beta 90.00
_cell_angle_gamma 90.00
_space_group_name_H-M_alt 'F -4 3 m'
_space_group_IT_number 216
_space_group_name_Hall 'F -4 2 3'
loop_
_atom_site_label
_atom_site_type_symbol
_atom_site_fract_x
_atom_site_fract_y
_atom_site_fract_z
Tb1 Tb 0.000 0.000 0.000
Al1 Al 0.000 0.000 0.500
Tl1 Tl 0.250 0.250 0.250
Ag1 Ag 0.250 0.250 0.750

***

no.,ΔH_f (0 K) (eV per atom),DOS(E_F) (states/eV/cell)
1,-0.384,11.16
2,-0.297,7.44
3,-0.144,23.66
4,-0.189,36.89
5,-0.044,13.66
6,-0.267,18.56
7,-0.080,26.67
8,-0.306,6.59
9,-0.236,3.07
10,-0.324,15.52
11,-0.210,41.05
12,-0.219,7.15
13,-0.205,26.67
14,-0.331,6.65
15,-0.291,18.95
16,-0.343,8.05
17,-0.185,16.95
18,-0.065,9.44
19,-0.341,17.63
20,-0.161,5.12